[1]
The following is a GGA-PBE calculation of a relaxed structure of CsRb2Au7, from the Alexandria database.

Properties
The calculation puts the raw total energy at -2.8497 eV/atom. For the formation energy, the calculation gives -6.38 kcal/mol of atoms. The crystal system is orthorhombic.

a = 7.3966 Å, b = 5.7624 Å, c = 13.6800 Å
α = 90.00°, β = 90.00°, γ = 90.00°
Space group Amm2 (No. 38)
One atom of each set of equivalent atoms:
1 Cs 0.0000 0.0000 0.0000 x2
2 Rb 0.0000 0.0000 0.6763 x2
3 Rb 0.5000 0.0000 0.8373 x2
4 Au 0.0000 0.0000 0.3353 x2
5 Au 0.3045 0.0000 0.4444 x4
6 Au 0.3053 0.0000 0.2291 x4
7 Au 0.5000 0.2486 0.5875 x4

=====

[2]
The following is a GGA-PBE calculation of a relaxed structure of Cs2Rb3Au4, from the Alexandria database.

Properties
The calculation puts the raw total energy at -2.2681 eV/atom. For the formation energy, the calculation gives -6.90 kcal/mol of atoms. The crystal system is monoclinic.

a = 9.3393 Å, b = 9.3524 Å, c = 9.0851 Å
α = 90.00°, β = 106.94°, γ = 90.00°
Space group P2_1/c (No. 14)
One atom of each set of equivalent atoms:
1 Cs 0.1953 0.1779 0.0752 x4
2 Rb 0.2433 0.6772 0.2517 x4
3 Rb 0.5000 0.0000 0.5000 x2
4 Au 0.0796 0.5289 0.8839 x4
5 Au 0.4970 0.1119 0.8846 x4

=====

Question: Which value of raw total energy does entry 2 give?
Answer: -2.2681 eV/atom

=====

Question: What is the raw total energy in the first record?
Answer: -2.8497 eV/atom

=====

Question: The lowest raw total energy belongs to which entry?
Answer: CsRb2Au7